Record 1
# PBE-GGA HoUOs2, optimized geometry
data_HoUOs2
_cell_length_a 3.4348
_cell_length_b 3.4348
_cell_length_c 6.7054
_cell_angle_alpha 90.00
_cell_angle_beta 90.00
_cell_angle_gamma 90.00
_symmetry_space_group_name_H-M 'P 4/m m m'
_symmetry_Int_Tables_number 123
_symmetry_space_group_name_Hall '-P 4 2'
loop_
_atom_site_label
_atom_site_type_symbol
_atom_site_fract_x
_atom_site_fract_y
_atom_site_fract_z
Ho1 Ho 0.0000 0.0000 0.0000
U1 U 0.0000 0.0000 0.5000
Os1 Os 0.5000 0.5000 0.2795
# * energy of formation from the pure elements: -63 kJ/mol of formula units

***

Record 2
# PBE-GGA HoUOs4, optimized geometry
data_HoUOs4
_cell_length_a 7.5508
_cell_length_b 7.5508
_cell_length_c 7.5508
_cell_angle_alpha 90.00
_cell_angle_beta 90.00
_cell_angle_gamma 90.00
_symmetry_space_group_name_H-M 'F -4 3 m'
_symmetry_Int_Tables_number 216
_symmetry_space_group_name_Hall 'F -4 2 3'
loop_
_atom_site_label
_atom_site_type_symbol
_atom_site_fract_x
_atom_site_fract_y
_atom_site_fract_z
Ho1 Ho 0.0000 0.0000 0.0000
U1 U 0.2500 0.2500 0.7500
Os1 Os 0.1251 0.1251 0.3749
# * energy of formation from the pure elements: -97 kJ/mol of formula units

***

Record 3
# PBE-GGA HoV2Os, optimized geometry
data_HoV2Os
_cell_length_a 6.3502
_cell_length_b 6.3502
_cell_length_c 6.3502
_cell_angle_alpha 90.00
_cell_angle_beta 90.00
_cell_angle_gamma 90.00
_symmetry_space_group_name_H-M 'F m -3 m'
_symmetry_Int_Tables_number 225
_symmetry_space_group_name_Hall '-F 4 2 3'
loop_
_atom_site_label
_atom_site_type_symbol
_atom_site_fract_x
_atom_site_fract_y
_atom_site_fract_z
Ho1 Ho 0.0000 0.0000 0.0000
V1 V 0.2500 0.2500 0.2500
Os1 Os 0.0000 0.0000 0.5000
# * energy of formation from the pure elements: 57 kJ/mol of formula units

***

Record 4
# PBE-GGA HoVOs, optimized geometry
data_HoVOs
_cell_length_a 5.3295
_cell_length_b 5.5363
_cell_length_c 7.2800
_cell_angle_alpha 90.00
_cell_angle_beta 90.00
_cell_angle_gamma 90.00
_symmetry_space_group_name_H-M 'I m m a'
_symmetry_Int_Tables_number 74
_symmetry_space_group_name_Hall '-I 2b 2'
loop_
_atom_site_label
_atom_site_type_symbol
_atom_site_fract_x
_atom_site_fract_y
_atom_site_fract_z
Ho1 Ho 0.0000 0.2500 0.1297
V1 V 0.2500 0.2500 0.7500
Os1 Os 0.0000 0.0000 0.5000
# * energy of formation from the pure elements: -71 kJ/mol of formula units

***

Record 5
# PBE-GGA Ho2VOs, optimized geometry
data_Ho2VOs
_cell_length_a 3.2141
_cell_length_b 3.2141
_cell_length_c 30.0545
_cell_angle_alpha 90.00
_cell_angle_beta 90.00
_cell_angle_gamma 120.00
_symmetry_space_group_name_H-M 'R -3 m'
_symmetry_Int_Tables_number 166
_symmetry_space_group_name_Hall '-R 3 2"'
loop_
_atom_site_label
_atom_site_type_symbol
_atom_site_fract_x
_atom_site_fract_y
_atom_site_fract_z
Ho1 Ho 0.0000 0.0000 0.0959
V1 V 0.0000 0.0000 0.0000
Os1 Os 0.0000 0.0000 0.5000
# * energy of formation from the pure elements: 247 kJ/mol of formula units

***

Record 6
# PBE-GGA HoOs2W, optimized geometry
data_HoOs2W
_cell_length_a 3.1006
_cell_length_b 3.1006
_cell_length_c 7.3085
_cell_angle_alpha 90.00
_cell_angle_beta 90.00
_cell_angle_gamma 90.00
_symmetry_space_group_name_H-M 'P 4/m m m'
_symmetry_Int_Tables_number 123
_symmetry_space_group_name_Hall '-P 4 2'
loop_
_atom_site_label
_atom_site_type_symbol
_atom_site_fract_x
_atom_site_fract_y
_atom_site_fract_z
Ho1 Ho 0.0000 0.0000 0.0000
Os1 Os 0.5000 0.5000 0.2900
W1 W 0.0000 0.0000 0.5000
# * energy of formation from the pure elements: 0 kJ/mol of formula units

***

Record 7
# PBE-GGA Y4HoOs2, optimized geometry
data_Y4HoOs2
_cell_length_a 7.8380
_cell_length_b 6.2950
_cell_length_c 7.9361
_cell_angle_alpha 90.00
_cell_angle_beta 112.30
_cell_angle_gamma 90.00
_symmetry_space_group_name_H-M 'P 1 21/m 1'
_symmetry_Int_Tables_number 11
loop_
_symmetry_equiv_pos_as_xyz
'x,y,z'
'-x,-y,-z'
'-x,y+1/2,-z'
'x,-y+1/2,z'
loop_
_atom_site_label
_atom_site_type_symbol
_atom_site_fract_x
_atom_site_fract_y
_atom_site_fract_z
Y1 Y 0.1209 0.2500 0.4791
Y2 Y 0.1747 0.7500 0.2514
Y3 Y 0.2613 0.5013 0.9183
Ho1 Ho 0.4708 0.2500 0.3397
Os1 Os 0.0872 0.2500 0.1239
Os2 Os 0.4754 0.2500 0.7525
# * energy of formation from the pure elements: -96 kJ/mol of formula units

***

Record 8
# PBE-GGA YHo3Os, optimized geometry
data_YHo3Os
_cell_length_a 17.2780
_cell_length_b 3.5829
_cell_length_c 9.5166
_cell_angle_alpha 90.00
_cell_angle_beta 105.95
_cell_angle_gamma 90.00
_symmetry_space_group_name_H-M 'C 1 2/m 1'
_symmetry_Int_Tables_number 12
loop_
_symmetry_equiv_pos_as_xyz
'x,y,z'
'-x,-y,-z'
'-x,y,-z'
'x,-y,z'
'x+1/2,y+1/2,z'
'-x+1/2,-y+1/2,-z'
'-x+1/2,y+1/2,-z'
'x+1/2,-y+1/2,z'
loop_
_atom_site_label
_atom_site_type_symbol
_atom_site_fract_x
_atom_site_fract_y
_atom_site_fract_z
Y1 Y 0.1926 0.0000 0.3077
Ho1 Ho 0.0014 0.5000 0.1759
Ho2 Ho 0.0983 0.5000 0.5405
Ho3 Ho 0.1851 0.0000 0.8706
Os1 Os 0.1371 0.5000 0.0640
# * energy of formation from the pure elements: 10 kJ/mol of formula units
# * ΔE to the lowest computed polymorph: 93 meV/atom

***

Record 9
# PBE-GGA YHo2Os, optimized geometry
data_YHo2Os
_cell_length_a 3.4368
_cell_length_b 3.4368
_cell_length_c 32.4299
_cell_angle_alpha 90.00
_cell_angle_beta 90.00
_cell_angle_gamma 120.00
_symmetry_space_group_name_H-M 'R -3 m'
_symmetry_Int_Tables_number 166
_symmetry_space_group_name_Hall '-R 3 2"'
loop_
_atom_site_label
_atom_site_type_symbol
_atom_site_fract_x
_atom_site_fract_y
_atom_site_fract_z
Y1 Y 0.0000 0.0000 0.0000
Ho1 Ho 0.0000 0.0000 0.1054
Os1 Os 0.0000 0.0000 0.5000
# * energy of formation from the pure elements: 99 kJ/mol of formula units
# * ΔE to the lowest computed polymorph: 522 meV/atom

***

Record 10
# PBE-GGA Y2Ho3Os2, optimized geometry
data_Y2Ho3Os2
_cell_length_a 11.8057
_cell_length_b 3.9785
_cell_length_c 8.2930
_cell_angle_alpha 90.00
_cell_angle_beta 112.91
_cell_angle_gamma 90.00
_symmetry_space_group_name_H-M 'C 1 2/m 1'
_symmetry_Int_Tables_number 12
loop_
_symmetry_equiv_pos_as_xyz
'x,y,z'
'-x,-y,-z'
'-x,y,-z'
'x,-y,z'
'x+1/2,y+1/2,z'
'-x+1/2,-y+1/2,-z'
'-x+1/2,y+1/2,-z'
'x+1/2,-y+1/2,z'
loop_
_atom_site_label
_atom_site_type_symbol
_atom_site_fract_x
_atom_site_fract_y
_atom_site_fract_z
Y1 Y 0.1642 0.0000 0.3133
Ho1 Ho 0.0000 0.5000 0.5000
Ho2 Ho 0.1252 0.5000 0.9309
Os1 Os 0.1753 0.0000 0.7167
# * energy of formation from the pure elements: -168 kJ/mol of formula units

***

Record 11
# PBE-GGA YHo2Os, optimized geometry
data_YHo2Os
_cell_length_a 3.3862
_cell_length_b 3.3862
_cell_length_c 9.2717
_cell_angle_alpha 90.00
_cell_angle_beta 90.00
_cell_angle_gamma 90.00
_symmetry_space_group_name_H-M 'P 4/m m m'
_symmetry_Int_Tables_number 123
_symmetry_space_group_name_Hall '-P 4 2'
loop_
_atom_site_label
_atom_site_type_symbol
_atom_site_fract_x
_atom_site_fract_y
_atom_site_fract_z
Y1 Y 0.0000 0.0000 0.0000
Ho1 Ho 0.5000 0.5000 0.3217
Os1 Os 0.0000 0.0000 0.5000
# * energy of formation from the pure elements: -49 kJ/mol of formula units
# * ΔE to the lowest computed polymorph: 138 meV/atom

***

Record 12
# PBE-GGA Y2HoOs, optimized geometry
data_Y2HoOs
_cell_length_a 3.4367
_cell_length_b 3.4367
_cell_length_c 32.5699
_cell_angle_alpha 90.00
_cell_angle_beta 90.00
_cell_angle_gamma 120.00
_symmetry_space_group_name_H-M 'R -3 m'
_symmetry_Int_Tables_number 166
_symmetry_space_group_name_Hall '-R 3 2"'
loop_
_atom_site_label
_atom_site_type_symbol
_atom_site_fract_x
_atom_site_fract_y
_atom_site_fract_z
Y1 Y 0.0000 0.0000 0.1047
Ho1 Ho 0.0000 0.0000 0.0000
Os1 Os 0.0000 0.0000 0.5000
# * energy of formation from the pure elements: 119 kJ/mol of formula units
# * ΔE to the lowest computed polymorph: 556 meV/atom

***

Which of these has the lowest energy of formation from the pure elements? Y2Ho3Os2